Arrangement A

Computed, not measured: a relaxed Pr8Dy2Sc3 crystal at the PBE level of DFT.

The structure belongs to space group C2/m (No. 12); the cell edges are 15.069, 8.997 and 6.713 Å and the angles 90.00°, 100.03° and 90.00°. Symmetry generates all atoms from Pr at (0.092, 0.000, 0.404), Pr at (0.111, 0.183, 0.936), Pr at (0.189, 0.500, 0.324), Dy at (0.194, 0.500, 0.802), Sc at (0.000, 0.340, 0.500) and Sc at (0.000, 0.500, 0.000).

=====

Arrangement B

Computed, not measured: a relaxed Pr8Dy2Sc3 crystal at the PBE level of DFT.

The structure belongs to space group C2/m (No. 12); the cell edges are 13.449, 11.525 and 6.026 Å and the angles 90.00°, 112.65° and 90.00°. Symmetry generates all atoms from Pr at (0.086, 0.000, 0.256), Pr at (0.136, 0.500, 0.617), Pr at (0.154, 0.266, 0.145), Dy at (0.183, 0.000, 0.822), Sc at (0.000, 0.231, 0.500) and Sc at (0.000, 0.500, 0.000).

=====

Preferred: arrangement B; penalty for the next structure: 5.6 kJ/mol of atoms.